Computed, not measured: UNi3Pt after structural relaxation at the PBE level of DFT.

The structure in extended XYZ format:
```
10
Lattice="4.4220 0.0000 0.0000 0.0000 4.4945 0.0000 0.0000 2.2472 7.9665" Properties=species:S:1:pos:R:3 pbc="T T T"
U 3.3165 2.2472 5.7332
U 1.1055 4.4945 2.2334
Ni 3.3165 3.3589 3.3179
Ni 3.3165 1.1355 3.3179
Ni 1.1055 5.6062 4.6486
Ni 1.1055 3.3828 4.6486
Ni 0.0000 0.0000 0.0000
Ni 2.2110 0.0000 0.0000
Pt 3.3165 2.2472 0.9854
Pt 1.1055 4.4945 6.9811
```

Output
E (eV per cell): -68.93
Total magnetic moment (μB/atom): 0.10
SG: Cmcm (63)
Fermi-level density of states (states/eV/cell): 11.159

Computed, not measured: UZnNiPt after structural relaxation at the PBE level of DFT.

The structure in extended XYZ format:
```
4
Lattice="4.6053 0.0000 0.0000 2.3026 3.9883 0.0000 2.3026 1.3294 3.7602" Properties=species:S:1:pos:R:3 pbc="T T T"
Ni 6.9079 3.9883 2.8201
Zn 4.6053 2.6588 1.8801
U 0.0000 0.0000 0.0000
Pt 2.3026 1.3294 0.9400
```

Output
E (eV per cell): -25.66
Total magnetic moment (μB/atom): 0.36
SG: F-43m (216)
Fermi-level density of states (states/eV/cell): 6.212

Computed, not measured: VNiPt4 after structural relaxation at the PBE level of DFT.

The structure in extended XYZ format:
```
12
Lattice="2.7419 0.0000 0.0000 0.0000 7.3626 0.0000 0.0000 0.0000 8.8419" Properties=species:S:1:pos:R:3 pbc="T T T"
V 0.0000 1.3685 2.2105
V 0.0000 5.9941 6.6314
Ni 0.0000 3.8601 2.2105
Ni 0.0000 3.5025 6.6314
Pt 1.3710 2.4095 0.2892
Pt 1.3710 2.4095 4.1317
Pt 1.3710 4.9531 8.5527
Pt 1.3710 4.9531 4.7102
Pt 1.3710 6.3470 2.2105
Pt 1.3710 1.0156 6.6314
Pt 0.0000 0.0000 0.0000
Pt 0.0000 0.0000 4.4210
```

Output
E (eV per cell): -80.74
Total magnetic moment (μB/atom): 0.00
SG: Pmma (51)
Fermi-level density of states (states/eV/cell): 11.642